Here is MnNiSb2 after structural relaxation from the Alexandria database. Energies are from PBE.

## Properties
DOS at the Fermi energy: 0.6718 states/eV per atom
ΔE_f (raw): 0.178 eV/atom
crystal system: tetragonal

a = 4.578 Å, b = 4.578 Å, c = 3.453 Å
α = 90.00°, β = 90.00°, γ = 90.00°
Site moments in Bohr magnetons follow the coordinates.
Fractional positions:
1 Ni 0.000 0.500 0.500  0.06
2 Sb 0.500 0.500 0.000  -0.05
3 Sb 0.000 0.000 0.000  -0.05
4 Mn 0.500 0.000 0.500  3.25

Here is MnNiSb2 after structural relaxation from the Alexandria database. Energies are from PBE.

## Properties
DOS at the Fermi energy: 0.4288 states/eV per atom
ΔE_f (raw): 0.229 eV/atom
crystal system: cubic

a = 4.675 Å, b = 4.675 Å, c = 4.675 Å
α = 60.00°, β = 60.00°, γ = 60.00°
Site moments in Bohr magnetons follow the coordinates.
Fractional positions:
1 Sb 0.250 0.250 0.250  -0.06
2 Sb 0.750 0.750 0.750  -0.06
3 Ni 0.500 0.500 0.500  0.19
4 Mn 0.000 0.000 0.000  2.97

Here is Mn3NiSb after structural relaxation from the Alexandria database. Energies are from PBE.

## Properties
DOS at the Fermi energy: 1.6692 states/eV per atom
ΔE_f (raw): 1.368 eV/atom
crystal system: cubic

a = 4.928 Å, b = 4.928 Å, c = 4.928 Å
α = 90.00°, β = 90.00°, γ = 90.00°
Site moments in Bohr magnetons follow the coordinates.
Fractional positions:
1 Mn 0.500 0.000 0.000  3.73
2 Mn 0.000 0.500 0.000  3.75
3 Mn 0.000 0.000 0.500  3.83
4 Ni 0.500 0.500 0.500  0.82
5 Sb 0.000 0.000 0.000  -0.08

Here is Mn2NiSb2 after structural relaxation from the Alexandria database. Energies are from PBE.

## Properties
DOS at the Fermi energy: 1.3032 states/eV per atom
ΔE_f (raw): 0.422 eV/atom
crystal system: tetragonal

a = 3.236 Å, b = 3.236 Å, c = 8.253 Å
α = 78.69°, β = 78.69°, γ = 90.00°
Fractional positions:
1 Ni 0.000 0.000 0.000
2 Mn 0.250 0.750 0.500
3 Mn 0.750 0.250 0.500
4 Sb 0.392 0.392 0.216
5 Sb 0.608 0.608 0.784

Here is Sr2MnNiSb after structural relaxation from the Alexandria database. Energies are from PBE.

## Properties
DOS at the Fermi energy: 0.9998 states/eV per atom
ΔE_f (raw): 0.077 eV/atom
crystal system: tetragonal

a = 5.743 Å, b = 4.726 Å, c = 5.743 Å
α = 90.00°, β = 90.00°, γ = 90.00°
Site moments in Bohr magnetons follow the coordinates.
Fractional positions:
1 Mn 0.500 0.500 0.500  4.24
2 Ni 0.000 0.000 0.000  -0.01
3 Sb 0.000 0.500 0.000  0.01
4 Sr 0.000 0.000 0.500  -0.03
5 Sr 0.500 0.000 0.000  -0.02

Here is Mn2TcNiSb after structural relaxation from the Alexandria database. Energies are from PBE.

## Properties
DOS at the Fermi energy: 0.9829 states/eV per atom
ΔE_f (raw): 1.195 eV/atom
crystal system: tetragonal

a = 4.700 Å, b = 4.982 Å, c = 4.700 Å
α = 90.00°, β = 90.00°, γ = 90.00°
Site moments in Bohr magnetons follow the coordinates.
Fractional positions:
1 Sb 0.000 0.500 0.000  0.06
2 Tc 0.000 0.000 0.000  -0.42
3 Mn 0.000 0.000 0.500  3.59
4 Mn 0.500 0.000 0.000  3.88
5 Ni 0.500 0.500 0.500  0.48

Here is MnTcNiSb after structural relaxation from the Alexandria database. Energies are from PBE.

## Properties
DOS at the Fermi energy: 0.6868 states/eV per atom
ΔE_f (raw): 0.047 eV/atom
crystal system: cubic

a = 4.383 Å, b = 4.383 Å, c = 4.383 Å
α = 60.00°, β = 60.00°, γ = 60.00°
Site moments in Bohr magnetons follow the coordinates.
Fractional positions:
1 Ni 0.250 0.250 0.250  0.50
2 Sb 0.500 0.500 0.500  0.04
3 Tc 0.750 0.750 0.750  0.19
4 Mn 0.000 0.000 0.000  3.39

Here is MnNiSb2Te after structural relaxation from the Alexandria database. Energies are from PBE.

## Properties
DOS at the Fermi energy: 0.8901 states/eV per atom
ΔE_f (raw): 0.751 eV/atom
crystal system: tetragonal

a = 4.935 Å, b = 4.935 Å, c = 5.111 Å
α = 90.00°, β = 90.00°, γ = 90.00°
Site moments in Bohr magnetons follow the coordinates.
Fractional positions:
1 Te 0.000 0.000 0.500  0.03
2 Sb 0.000 0.500 0.000  -0.04
3 Sb 0.500 0.000 0.000  -0.04
4 Mn 0.000 0.000 0.000  2.21
5 Ni 0.500 0.500 0.500  -0.42

Here is MnNiSb2Te after structural relaxation from the Alexandria database. Energies are from PBE.

## Properties
DOS at the Fermi energy: 1.0622 states/eV per atom
ΔE_f (raw): 0.971 eV/atom
crystal system: tetragonal

a = 4.864 Å, b = 4.864 Å, c = 5.153 Å
α = 90.00°, β = 90.00°, γ = 90.00°
Site moments in Bohr magnetons follow the coordinates.
Fractional positions:
1 Te 0.000 0.000 0.500  0.00
2 Ni 0.000 0.000 0.000  -0.08
3 Sb 0.500 0.000 0.000  -0.05
4 Sb 0.000 0.500 0.000  -0.05
5 Mn 0.500 0.500 0.500  0.18

Here is TiMnNiSb after structural relaxation from the Alexandria database. Energies are from PBE.

## Properties
DOS at the Fermi energy: 0.5596 states/eV per atom
ΔE_f (raw): -0.200 eV/atom
crystal system: cubic

a = 4.337 Å, b = 4.337 Å, c = 4.337 Å
α = 60.00°, β = 60.00°, γ = 60.00°
Site moments in Bohr magnetons follow the coordinates.
Fractional positions:
1 Ni 0.750 0.750 0.750  0.43
2 Mn 0.250 0.250 0.250  1.35
3 Ti 0.000 0.000 0.000  -0.17
4 Sb 0.500 0.500 0.500  0.01

Here is Ti2MnNi7Sb2 after structural relaxation from the Alexandria database. Energies are from PBE.

## Properties
DOS at the Fermi energy: 0.8540 states/eV per atom
ΔE_f (raw): -0.098 eV/atom
crystal system: tetragonal

a = 3.432 Å, b = 3.432 Å, c = 14.843 Å
α = 83.37°, β = 83.37°, γ = 90.00°
Site moments in Bohr magnetons follow the coordinates.
Fractional positions:
1 Ni 0.435 0.935 0.129  0.09
2 Ni 0.274 0.274 0.453  -0.01
3 Ni 0.065 0.565 0.871  0.09
4 Ni 0.726 0.726 0.547  -0.01
5 Ni 0.565 0.065 0.871  0.09
6 Ni 0.935 0.435 0.129  0.09
7 Ni 0.500 0.500 0.000  0.42
8 Sb 0.187 0.187 0.626  0.00
9 Sb 0.813 0.813 0.374  0.00
10 Mn 0.000 0.000 0.000  3.00
11 Ti 0.624 0.624 0.751  -0.10
12 Ti 0.376 0.376 0.249  -0.10

Here is MnNiSbW2 after structural relaxation from the Alexandria database. Energies are from PBE.

## Properties
DOS at the Fermi energy: 1.6611 states/eV per atom
ΔE_f (raw): 2.487 eV/atom
crystal system: tetragonal

a = 4.919 Å, b = 4.370 Å, c = 4.919 Å
α = 90.00°, β = 90.00°, γ = 90.00°
Site moments in Bohr magnetons follow the coordinates.
Fractional positions:
1 W 0.000 0.000 0.500  0.02
2 W 0.500 0.000 0.000  0.02
3 Mn 0.500 0.500 0.500  0.08
4 Sb 0.000 0.000 0.000  0.01
5 Ni 0.000 0.500 0.000  0.01

Question: What is the DOS at the Fermi energy in the twelfth record?
Answer: 1.6611 states/eV per atom